i | Here is Ba2NaCl after structural relaxation from Alexandria via LeMat-Bulk. Energies are from GGA-PBE.

```
Ba2NaCl
1.0
-2.8279 0.1455 5.5995
-5.7317 -2.4598 0.6850
-0.7687 -5.3028 3.2653
Na Cl Ba
1 1 2
Direct
0.0000 0.0000 0.0000
0.5000 0.5000 0.5000
0.2500 0.2500 0.2500
0.7500 0.7500 0.7500
```

symmetry: Fm-3m, No. 225

ii | Here is Ba2NaCl after structural relaxation from Alexandria via LeMat-Bulk. Energies are from GGA-PBE.

```
Ba2NaCl
1.0
4.3811 0.0000 0.0000
2.1906 3.7941 0.0000
2.1906 1.2647 10.7561
Ba Na Cl
2 1 1
Direct
0.0672 0.0672 0.7983
0.2656 0.2656 0.2033
0.4995 0.4995 0.5016
0.6678 0.6678 0.9967
```

symmetry: R3m, No. 160

Least stable: i

i | Here is Ba2NaCl after structural relaxation from Alexandria via LeMat-Bulk. Energies are from GGA-PBE.

```
Ba2NaCl
1.0
-7.7171 5.3825 1.3799
-4.6134 -7.5228 3.5432
-4.6893 -0.0189 6.6154
Ba Cl Na
4 2 2
Direct
0.0510 0.6250 0.2500
0.3750 0.3010 0.7500
0.6990 0.1250 0.2500
0.8750 0.9490 0.7500
0.7500 0.2500 0.5000
0.0000 0.0000 0.0000
0.5000 0.5000 0.0000
0.2500 0.7500 0.5000
```

symmetry: I-42d, No. 122

ii | Here is Ba2NaCl after structural relaxation from Alexandria via LeMat-Bulk. Energies are from GGA-PBE.

```
Ba2NaCl
1.0
-3.0358 -1.3156 -2.9350
-3.3655 -2.5602 1.2963
-7.9000 7.3473 1.5454
Ba Cl Na
2 1 1
Direct
0.2662 0.2662 0.2015
0.7338 0.7338 0.7985
0.0000 0.0000 0.0000
0.5000 0.5000 0.5000
```

symmetry: R-3m, No. 166

Least stable: i

i | Here is Ba2Na2Cl after structural relaxation from Alexandria via LeMat-Bulk. Energies are from GGA-PBE.

```
Ba2Na2Cl
1.0
-6.7612 1.1525 4.2015
-4.2699 -0.2126 -6.8130
-0.7376 -6.7845 0.6740
Cl Ba Na
2 4 4
Direct
0.5000 0.5000 0.0000
0.0000 0.0000 0.0000
0.6746 0.8254 0.5000
0.3254 0.1746 0.5000
0.8254 0.3254 0.5000
0.1746 0.6746 0.5000
0.6529 0.1529 0.0000
0.8471 0.6529 0.0000
0.3471 0.8471 0.0000
0.1529 0.3471 0.0000
```

symmetry: P4/mbm, No. 127

ii | Here is Ba2Na2Cl after structural relaxation from Alexandria via LeMat-Bulk. Energies are from GGA-PBE.

```
Ba2Na2Cl
1.0
-0.9748 -5.5940 -6.5128
8.5271 -1.3936 -0.0793
-0.7653 -4.9299 4.3490
Cl Na Ba
2 4 4
Direct
0.0000 0.0000 0.0000
0.5000 0.5000 0.0000
0.1374 0.6374 0.5000
0.6374 0.8626 0.5000
0.8626 0.3626 0.5000
0.3626 0.1374 0.5000
0.1771 0.3229 0.0000
0.8229 0.6771 0.0000
0.6771 0.1771 0.0000
0.3229 0.8229 0.0000
```

symmetry: P4/mbm, No. 127

Least stable: i

i | Here is BaNaPCl2 after structural relaxation from Alexandria via LeMat-Bulk. Energies are from GGA-PBE.

```
BaNaPCl2
1.0
-1.2746 0.7811 -4.9069
-4.9431 -0.7135 1.1704
-0.5384 5.3581 0.9928
P Cl Na Ba
1 2 1 1
Direct
0.0000 0.0000 0.5000
0.0000 0.5000 0.0000
0.5000 0.0000 0.0000
0.0000 0.0000 0.0000
0.5000 0.5000 0.5000
```

symmetry: P4/mmm, No. 123

ii | Here is BaNaPCl2 after structural relaxation from Alexandria via LeMat-Bulk. Energies are from GGA-PBE.

```
BaNaPCl2
1.0
5.9917 0.0000 0.0000
0.0000 5.9917 0.0000
0.0000 0.0000 6.4421
Cl Na Ba P
2 1 1 1
Direct
0.0000 0.5000 0.0000
0.5000 0.0000 0.0000
0.5000 0.5000 0.5000
0.0000 0.0000 0.0000
0.0000 0.0000 0.5000
```

symmetry: P4/mmm, No. 123

Least stable: ii

i | Here is Ba2NaSrCl after structural relaxation from Alexandria via LeMat-Bulk. Energies are from GGA-PBE.

```
Ba2NaSrCl
1.0
-0.2724 -5.1424 -3.8785
6.3157 -0.9753 0.8495
-1.1521 -3.4293 4.6277
Sr Na Ba Cl
1 1 2 1
Direct
0.0000 0.0000 0.5000
0.5000 0.5000 0.5000
0.5000 0.0000 0.0000
0.0000 0.5000 0.0000
0.0000 0.0000 0.0000
```

symmetry: P4/mmm, No. 123

ii | Here is Ba2NaSrCl after structural relaxation from Alexandria via LeMat-Bulk. Energies are from GGA-PBE.

```
Ba2NaSrCl
1.0
-2.0969 -4.8067 3.7022
-1.1833 -3.5179 -5.2376
5.5195 -2.2198 0.2441
Ba Cl Sr Na
2 1 1 1
Direct
0.0000 0.5000 0.0000
0.5000 0.0000 0.0000
0.0000 0.0000 0.0000
0.5000 0.5000 0.5000
0.0000 0.0000 0.5000
```

symmetry: P4/mmm, No. 123

Least stable: i

i | Here is Ba2NaVCl after structural relaxation from Alexandria via LeMat-Bulk. Energies are from GGA-PBE.

```
Ba2NaVCl
1.0
-1.6149 3.7838 4.9767
-4.8775 -2.6958 0.4668
2.7148 -4.2057 4.0785
Na Ba Cl V
1 2 1 1
Direct
0.0000 0.5000 0.0000
0.0000 0.0000 0.5000
0.5000 0.0000 0.0000
0.5000 0.5000 0.5000
0.0000 0.0000 0.0000
```

symmetry: P4/mmm, No. 123

ii | Here is Ba2NaVCl after structural relaxation from Alexandria via LeMat-Bulk. Energies are from GGA-PBE.

```
Ba2NaVCl
1.0
6.3925 0.0000 0.0000
0.0000 6.3925 0.0000
0.0000 0.0000 4.7181
Cl V Ba Na
1 1 2 1
Direct
0.0000 0.0000 0.0000
0.0000 0.0000 0.5000
0.0000 0.5000 0.0000
0.5000 0.0000 0.0000
0.5000 0.5000 0.5000
```

symmetry: P4/mmm, No. 123

Least stable: i

i | Here is BaNbCl3 after structural relaxation from Alexandria via LeMat-Bulk. Energies are from GGA-PBE.

```
BaNbCl3
1.0
5.0783 0.0000 0.0000
0.0000 5.0783 0.0000
0.0000 0.0000 5.0783
Cl Ba Nb
3 1 1
Direct
0.5000 0.0000 0.0000
0.0000 0.0000 0.5000
0.0000 0.5000 0.0000
0.5000 0.5000 0.5000
0.0000 0.0000 0.0000
```

symmetry: Pm-3m, No. 221

ii | Here is BaNbCl3 after structural relaxation from Alexandria via LeMat-Bulk. Energies are from GGA-PBE.

```
BaNbCl3
1.0
-2.8140 -5.0373 1.4755
0.1148 -1.7328 -5.6969
5.2477 -2.6632 0.9158
Cl Nb Ba
3 1 1
Direct
0.0000 0.5000 0.0000
0.5000 0.0000 0.0000
0.0000 0.0000 0.5000
0.5000 0.5000 0.5000
0.0000 0.0000 0.0000
```

symmetry: Pm-3m, No. 221

Least stable: ii

i | Here is BaNbPCl2 after structural relaxation from Alexandria via LeMat-Bulk. Energies are from GGA-PBE.

```
BaNbPCl2
1.0
-3.2778 -0.5353 4.6524
-0.3695 -5.6315 -0.9083
5.2271 -0.9199 3.5769
P Cl Nb Ba
1 2 1 1
Direct
0.0000 0.0000 0.5000
0.5000 0.0000 0.0000
0.0000 0.5000 0.0000
0.5000 0.5000 0.5000
0.0000 0.0000 0.0000
```

symmetry: P4/mmm, No. 123

ii | Here is BaNbPCl2 after structural relaxation from Alexandria via LeMat-Bulk. Energies are from GGA-PBE.

```
BaNbPCl2
1.0
5.0448 0.0000 0.0000
0.0000 5.0448 0.0000
0.0000 0.0000 4.9719
P Ba Cl Nb
1 1 2 1
Direct
0.0000 0.0000 0.5000
0.5000 0.5000 0.5000
0.0000 0.5000 0.0000
0.5000 0.0000 0.0000
0.0000 0.0000 0.0000
```

symmetry: P4/mmm, No. 123

Least stable: i